Record 1
Li3YBr: optimized geometry, PBE-GGA. Values from VASP.

Results
* final energy: -10.23 eV/cell
* formation energy (no corrections): 0.73 eV/atom
* ΔE to the lowest computed polymorph: 0.843 eV per atom
* calculated volume: 44.17 Å³ per atom
* crystal system: cubic

Cell and atoms, written as Quantum ESPRESSO input:
```
&SYSTEM
  ibrav = 0, nat = 5, ntyp = 3
/
ATOMIC_SPECIES
Li 6.94 Li.upf
Y 88.91 Y.upf
Br 79.90 Br.upf
ATOMIC_POSITIONS angstrom
Li 0.000 0.000 3.022
Li 0.000 3.022 0.000
Li 3.022 0.000 0.000
Y 0.000 0.000 0.000
Br 3.022 3.022 3.022
CELL_PARAMETERS angstrom
6.045 0.000 0.000
0.000 6.045 0.000
0.000 0.000 6.045
```

Record 2
BPtW: optimized geometry, PBE-GGA. Values from VASP.

Results
* final energy: -105.83 eV/cell
* ΔE_f: -0.262 eV/atom
* ΔE to the lowest computed polymorph: 0.049 eV per atom
* calculated volume: 12.47 Å³ per atom
* crystal system: monoclinic

Cell and atoms, written as Quantum ESPRESSO input:
```
&SYSTEM
  ibrav = 0, nat = 12, ntyp = 3
/
ATOMIC_SPECIES
B 10.81 B.upf
Pt 195.08 Pt.upf
W 183.84 W.upf
ATOMIC_POSITIONS angstrom
B 0.520 0.000 0.712
B -0.066 1.619 4.603
B 4.869 1.619 0.712
B 4.284 0.000 4.603
Pt -0.749 0.000 3.274
Pt 1.204 1.619 2.040
Pt 3.600 1.619 3.274
Pt 5.553 0.000 2.040
W -2.634 1.619 4.543
W 3.088 0.000 0.772
W 1.716 0.000 4.543
W 7.438 1.619 0.772
CELL_PARAMETERS angstrom
8.699 0.000 0.000
0.000 3.238 0.000
-3.895 0.000 5.314
```

Record 3
Zr3Sc2Al: optimized geometry, PBE-GGA. Values from VASP.

Results
* final energy: -83.86 eV/cell
* ΔE_f: 0.020 eV/atom
* calculated volume: 22.26 Å³ per atom
* crystal system: orthorhombic

Cell and atoms, written as Quantum ESPRESSO input:
```
&SYSTEM
  ibrav = 0, nat = 12, ntyp = 3
/
ATOMIC_SPECIES
Zr 91.22 Zr.upf
Sc 44.96 Sc.upf
Al 26.98 Al.upf
ATOMIC_POSITIONS angstrom
Zr 1.508 2.943 4.229
Zr 3.023 5.507 4.229
Zr 1.508 -2.943 1.410
Zr 4.537 2.943 4.229
Zr 3.023 -5.507 1.410
Zr 4.537 -2.943 1.410
Sc 1.509 0.000 0.000
Sc 1.509 0.000 2.820
Sc 4.537 0.000 0.000
Sc 4.537 0.000 2.820
Al 3.023 2.267 1.410
Al 3.023 -2.267 4.229
CELL_PARAMETERS angstrom
3.023 -7.834 0.000
3.023 7.834 0.000
0.000 0.000 5.639
```

Record 4
NdDyHo4Tm2: optimized geometry, PBE-GGA. Values from VASP.

Results
* final energy: -66.17 eV/cell
* ΔE_f: 0.442 eV/atom
* calculated volume: 32.68 Å³ per atom
* crystal system: monoclinic

Cell and atoms, written as Quantum ESPRESSO input:
```
&SYSTEM
  ibrav = 0, nat = 16, ntyp = 4
/
ATOMIC_SPECIES
Nd 144.24 Nd.upf
Dy 162.50 Dy.upf
Ho 164.93 Ho.upf
Tm 168.93 Tm.upf
ATOMIC_POSITIONS angstrom
Nd 3.379 3.307 0.000
Nd 1.693 -3.307 2.925
Dy 0.000 0.000 0.000
Dy -1.686 0.000 2.925
Ho 1.704 0.039 2.943
Ho 5.064 3.283 2.936
Ho 3.394 3.283 5.838
Ho 3.390 -0.039 0.019
Ho 6.754 0.039 5.831
Ho 6.750 -3.283 0.012
Ho 5.080 -3.283 2.913
Ho 8.440 -0.039 2.906
Tm 1.693 3.307 2.925
Tm 3.379 -3.307 0.000
Tm 6.758 0.000 0.000
Tm 5.072 0.000 2.925
CELL_PARAMETERS angstrom
6.758 -6.615 0.000
6.758 6.615 0.000
-3.372 0.000 5.849
```